# 1
Computed, not measured: a relaxed structure of CsMnAg2Cl8 at the GGA-PBE level of DFT.

Calculated values
Space group: P-1, No. 2
Volume, Å³/f.u.: 336
Energy relative to the elements, uncorrected, eV per atom: -0.824

a = 6.394 Å, b = 6.505 Å, c = 9.252 Å
α = 69.61°, β = 72.98°, γ = 72.25°
Fractional positions:
Cs1 0.000 0.000 0.000
Mn1 0.000 0.000 0.500
Ag1 0.418 0.456 0.231
Ag2 0.582 0.544 0.769
Cl1 0.147 0.728 0.703
Cl2 0.231 0.220 0.487
Cl3 0.275 0.832 0.322
Cl4 0.404 0.286 0.018
Cl5 0.596 0.714 0.982
Cl6 0.725 0.168 0.678
Cl7 0.769 0.780 0.513
Cl8 0.853 0.272 0.297

=====

# 2
Computed, not measured: a relaxed structure of Sm4Ge8Ru at the GGA-PBE level of DFT.

Calculated values
Space group: Pmm2, No. 25
Volume, Å³/f.u.: 285
VASP energy, eV/atom: -5.6069

a = 4.060 Å, b = 4.251 Å, c = 16.500 Å
α = 90.00°, β = 90.00°, γ = 90.00°
Fractional positions:
Sm1 0.000 0.000 0.000
Sm2 0.000 0.500 0.490
Sm3 0.500 0.000 0.791
Sm4 0.500 0.500 0.286
Ge1 0.000 0.000 0.337
Ge2 0.000 0.000 0.627
Ge3 0.000 0.500 0.140
Ge4 0.000 0.500 0.853
Ge5 0.500 0.000 0.146
Ge6 0.500 0.000 0.439
Ge7 0.500 0.500 0.624
Ge8 0.500 0.500 0.951
Ru1 0.000 0.500 0.704

=====

# 3
Computed, not measured: a relaxed structure of HOsIO at the GGA-PBE level of DFT.

Calculated values
Space group: Cm, No. 8
Polymorph energy (0 for the lowest one), meV per atom: 97
Volume, Å³/f.u.: 73

a = 6.581 Å, b = 6.581 Å, c = 3.736 Å
α = 91.06°, β = 91.06°, γ = 26.66°
Fractional positions:
H1 0.000 0.000 0.000
Os1 0.418 0.418 0.994
I1 0.731 0.731 0.983
O1 0.420 0.420 0.494

=====

# 4
Computed, not measured: a relaxed structure of KRb2CeI8 at the GGA-PBE level of DFT.

Calculated values
Space group: P-1, No. 2
Volume, Å³/f.u.: 569
Energy relative to the elements, uncorrected, eV per atom: -1.204

a = 6.695 Å, b = 8.444 Å, c = 10.503 Å
α = 89.86°, β = 73.31°, γ = 89.93°
Fractional positions:
K1 0.000 0.000 0.000
Rb1 0.331 0.495 0.319
Rb2 0.669 0.505 0.681
Ce1 0.000 0.000 0.500
I1 0.189 0.251 0.636
I2 0.192 0.742 0.629
I3 0.247 0.500 0.996
I4 0.352 0.005 0.238
I5 0.648 0.995 0.762
I6 0.753 0.500 0.004
I7 0.808 0.258 0.371
I8 0.811 0.749 0.364

=====

# 5
Computed, not measured: a relaxed structure of BaSi4Ir at the GGA-PBE level of DFT.

Calculated values
Space group: F-43m, No. 216
Volume, Å³/f.u.: 113
Energy relative to the elements, uncorrected, eV per atom: 0.532

a = 5.433 Å, b = 5.433 Å, c = 5.433 Å
α = 60.00°, β = 60.00°, γ = 60.00°
Fractional positions:
Ba1 0.000 0.000 0.000
Si1 0.380 0.380 0.380
Si2 0.380 0.380 0.860
Si3 0.380 0.860 0.380
Si4 0.860 0.380 0.380
Ir1 0.750 0.750 0.750

=====

# 6
Computed, not measured: a relaxed structure of LaSbPdCl2 at the GGA-PBE level of DFT.

Calculated values
Space group: P4/mmm, No. 123
Volume, Å³/f.u.: 139
Energy relative to the elements, uncorrected, eV per atom: -0.592

a = 4.825 Å, b = 4.825 Å, c = 5.964 Å
α = 90.00°, β = 90.00°, γ = 90.00°
Fractional positions:
La1 0.000 0.000 0.000
Sb1 0.500 0.500 0.000
Pd1 0.000 0.000 0.500
Cl1 0.000 0.500 0.500
Cl2 0.500 0.000 0.500

=====

# 7
Computed, not measured: a relaxed structure of CoSbI2 at the GGA-PBE level of DFT.

Calculated values
Space group: Fm-3m, No. 225
Polymorph energy (0 for the lowest one), meV per atom: 611
Volume, Å³/f.u.: 105
Energy relative to the elements, uncorrected, eV per atom: 0.840

a = 5.299 Å, b = 5.299 Å, c = 5.299 Å
α = 60.00°, β = 60.00°, γ = 60.00°
Fractional positions:
Co1 0.000 0.000 0.000
Sb1 0.500 0.500 0.500
I1 0.250 0.250 0.250
I2 0.750 0.750 0.750

=====

# 8
Computed, not measured: a relaxed structure of LiThSi2Pt2 at the GGA-PBE level of DFT.

Calculated values
Space group: P-3m1, No. 164
Volume, Å³/f.u.: 106
Energy relative to the elements, uncorrected, eV per atom: -0.973

a = 4.260 Å, b = 4.260 Å, c = 6.727 Å
α = 90.00°, β = 90.00°, γ = 120.00°
Fractional positions:
Li1 0.000 0.000 0.000
Th1 0.000 0.000 0.500
Si1 0.333 0.667 0.816
Si2 0.667 0.333 0.184
Pt1 0.333 0.667 0.202
Pt2 0.667 0.333 0.798

=====

no.,spin magnetization (μB per formula unit)
1,2.106
2,0.000
3,0.000
4,0.147
5,0.000
6,0.680
7,1.849
8,0.000